{
  "formula": "Sr2YAu",
  "functional": "PBE",
  "state": "optimized geometry",
  "vol_a3_per_atom": 33.3,
  "ef_ev_per_atom": -0.06,
  "lattice_angstrom": [[5.5374, 0.0000, 0.0000], [0.0000, 5.5374, 0.0000], [0.0000, 0.0000, 4.3439]],
  "species": ["Sr", "Sr", "Y", "Au"],
  "frac_coords": [[0.0000, 0.5000, 0.0000], [0.5000, 0.0000, 0.0000], [0.0000, 0.0000, 0.5000], [0.5000, 0.5000, 0.5000]]
}